# 1
Here is crystalline Pr2CdPt at its relaxed geometry from Alexandria via LeMat-Bulk. Energies are from GGA-PBE.

a b c (Å): 8.502 8.502 8.502
angles (deg): 28.37 28.37 28.37
Atoms (fractional coordinates):
1 Pr 0.235 0.235 0.235
2 Pr 0.765 0.765 0.765
3 Cd 0.000 0.000 0.000
4 Pt 0.500 0.500 0.500

Computed properties:
Energy above the most stable polymorph in this dataset = 0.067 eV per atom

# 2
Here is crystalline Pr5Cd4Pt at its relaxed geometry from Alexandria via LeMat-Bulk. Energies are from GGA-PBE.

a b c (Å): 3.809 3.809 19.391
angles (deg): 90.00 90.00 90.00
Atoms (fractional coordinates):
1 Pr 0.000 0.000 0.000
2 Pr 0.000 0.000 0.206
3 Pr 0.000 0.000 0.414
4 Pr 0.000 0.000 0.586
5 Pr 0.000 0.000 0.794
6 Cd 0.500 0.500 0.103
7 Cd 0.500 0.500 0.306
8 Cd 0.500 0.500 0.694
9 Cd 0.500 0.500 0.897
10 Pt 0.500 0.500 0.500

# 3
Here is crystalline PrCd3Pt at its relaxed geometry from Alexandria via LeMat-Bulk. Energies are from GGA-PBE.

a b c (Å): 5.590 5.876 7.624
angles (deg): 90.00 111.28 90.00
Atoms (fractional coordinates):
1 Pr 0.219 0.250 0.124
2 Pr 0.781 0.750 0.876
3 Cd 0.205 0.006 0.694
4 Cd 0.205 0.494 0.694
5 Cd 0.345 0.750 0.399
6 Cd 0.655 0.250 0.601
7 Cd 0.795 0.506 0.306
8 Cd 0.795 0.994 0.306
9 Pt 0.345 0.750 0.033
10 Pt 0.655 0.250 0.967

Computed properties:
Energy above the most stable polymorph in this dataset = 0.000 eV per atom

# 4
Here is crystalline PrCd3Pt8 at its relaxed geometry from Alexandria via LeMat-Bulk. Energies are from GGA-PBE.

a b c (Å): 5.435 5.435 8.747
angles (deg): 90.00 90.00 120.00
Atoms (fractional coordinates):
1 Pr 0.000 0.000 0.000
2 Cd 0.000 0.000 0.387
3 Cd 0.667 0.333 0.479
4 Cd 0.667 0.333 0.843
5 Pt 0.165 0.329 0.676
6 Pt 0.165 0.835 0.676
7 Pt 0.333 0.667 0.426
8 Pt 0.333 0.667 0.927
9 Pt 0.503 0.006 0.179
10 Pt 0.503 0.497 0.179
11 Pt 0.671 0.835 0.676
12 Pt 0.994 0.497 0.179

Computed properties:
Energy above the most stable polymorph in this dataset = 0.037 eV per atom

# 5
Here is crystalline Pr23Cd4Pt7 at its relaxed geometry from Alexandria via LeMat-Bulk. Energies are from GGA-PBE.

a b c (Å): 10.150 10.150 23.067
angles (deg): 90.00 90.00 120.00
Atoms (fractional coordinates):
1 Pr 0.000 0.000 0.048
2 Pr 0.000 0.000 0.548
3 Pr 0.078 0.539 0.139
4 Pr 0.086 0.543 0.411
5 Pr 0.128 0.257 0.691
6 Pr 0.128 0.872 0.691
7 Pr 0.198 0.396 0.839
8 Pr 0.198 0.802 0.839
9 Pr 0.205 0.411 0.000
10 Pr 0.205 0.795 0.000
11 Pr 0.206 0.411 0.276
12 Pr 0.206 0.794 0.276
13 Pr 0.211 0.421 0.545
14 Pr 0.211 0.789 0.545
15 Pr 0.257 0.128 0.191
16 Pr 0.333 0.667 0.698
17 Pr 0.396 0.198 0.339
18 Pr 0.411 0.205 0.500
19 Pr 0.411 0.206 0.776
20 Pr 0.421 0.211 0.045
21 Pr 0.457 0.543 0.411
22 Pr 0.457 0.914 0.411
23 Pr 0.461 0.539 0.139
24 Pr 0.461 0.922 0.139
25 Pr 0.539 0.078 0.639
26 Pr 0.539 0.461 0.639
27 Pr 0.543 0.086 0.911
28 Pr 0.543 0.457 0.911
29 Pr 0.579 0.789 0.545
30 Pr 0.589 0.794 0.276
31 Pr 0.589 0.795 0.000
32 Pr 0.604 0.802 0.839
33 Pr 0.667 0.333 0.198
34 Pr 0.743 0.872 0.691
35 Pr 0.789 0.211 0.045
36 Pr 0.789 0.579 0.045
37 Pr 0.794 0.206 0.776
38 Pr 0.794 0.589 0.776
39 Pr 0.795 0.205 0.500
40 Pr 0.795 0.589 0.500
41 Pr 0.802 0.198 0.339
42 Pr 0.802 0.604 0.339
43 Pr 0.872 0.128 0.191
44 Pr 0.872 0.743 0.191
45 Pr 0.914 0.457 0.911
46 Pr 0.922 0.461 0.639
47 Cd 0.000 0.000 0.304
48 Cd 0.000 0.000 0.804
49 Cd 0.107 0.215 0.418
50 Cd 0.107 0.893 0.418
51 Cd 0.215 0.107 0.918
52 Cd 0.785 0.893 0.418
53 Cd 0.893 0.107 0.918
54 Cd 0.893 0.785 0.918
55 Pt 0.045 0.523 0.766
56 Pt 0.142 0.284 0.118
57 Pt 0.142 0.858 0.118
58 Pt 0.284 0.142 0.618
59 Pt 0.333 0.667 0.916
60 Pt 0.477 0.523 0.766
61 Pt 0.477 0.955 0.766
62 Pt 0.523 0.045 0.266
63 Pt 0.523 0.477 0.266
64 Pt 0.667 0.333 0.416
65 Pt 0.716 0.858 0.118
66 Pt 0.858 0.142 0.618
67 Pt 0.858 0.716 0.618
68 Pt 0.955 0.477 0.266

# 6
Here is crystalline PrCd3Pt2 at its relaxed geometry from Alexandria via LeMat-Bulk. Energies are from GGA-PBE.

a b c (Å): 8.719 8.719 8.719
angles (deg): 153.06 114.78 71.90
Atoms (fractional coordinates):
1 Pr 0.134 0.134 0.000
2 Pr 0.866 0.866 0.000
3 Cd 0.126 0.329 0.797
4 Cd 0.351 0.000 0.351
5 Cd 0.468 0.671 0.797
6 Cd 0.532 0.329 0.203
7 Cd 0.649 0.000 0.649
8 Cd 0.874 0.671 0.203
9 Pt 0.146 0.500 0.646
10 Pt 0.301 0.801 0.500
11 Pt 0.699 0.199 0.500
12 Pt 0.854 0.500 0.354

Number 1: formation enthalpy at 0 K -0.602 eV/atom, V 123 Å³/f.u., VASP energy -18.922 eV for the cell shown. Number 2: formation enthalpy at 0 K -0.459 eV/atom, V 281 Å³/f.u., VASP energy -38.193 eV for the cell shown. Number 3: formation enthalpy at 0 K -0.493 eV/atom, V 117 Å³/f.u., VASP energy -32.061 eV for the cell shown. Number 4: formation enthalpy at 0 K -0.445 eV/atom, V 224 Å³/f.u., VASP energy -61.188 eV for the cell shown. Number 5: formation enthalpy at 0 K -0.591 eV/atom, V 1029 Å³/f.u., VASP energy -351.911 eV for the cell shown. Number 6: formation enthalpy at 0 K -0.538 eV/atom, V 135 Å³/f.u., VASP energy -45.665 eV for the cell shown.